Material: DyCdGe2
Method: DFT, PBE
State: relaxed

Structure (CIF):
```
data_DyCdGe2
_chemical_formula_sum 'Dy1 Cd1 Ge2'
_space_group_name_H-M_alt 'P 4/m m m'
_space_group_IT_number 123
_space_group_name_Hall '-P 4 2'
_cell_length_a 4.5199
_cell_length_b 4.5199
_cell_length_c 4.1098
_cell_angle_alpha 90.00
_cell_angle_beta 90.00
_cell_angle_gamma 90.00
loop_
_atom_site_label
_atom_site_type_symbol
_atom_site_fract_x
_atom_site_fract_y
_atom_site_fract_z
Dy1 Dy 0.0000 0.0000 0.0000
Cd1 Cd 0.5000 0.5000 0.0000
Ge1 Ge 0.0000 0.5000 0.5000
```

Values from the calculation:
The value obtained for the formation energy is -406 meV/atom. For the distance to the lowest polymorph of the same formula, the calculation gives 0.038 eV per atom. The density comes out at 8.31 g/cm³.

=====

Material: SrLaTl2
Method: DFT, PBE
State: relaxed

Structure (CIF):
```
data_SrLaTl2
_chemical_formula_sum 'Sr1 La1 Tl2'
_space_group_name_H-M_alt 'P 4 m m'
_space_group_IT_number 99
_cell_length_a 4.4856
_cell_length_b 4.4856
_cell_length_c 7.0811
_cell_angle_alpha 90.00
_cell_angle_beta 90.00
_cell_angle_gamma 90.00
loop_
_space_group_symop_operation_xyz
'x,y,z'
'-y,x,z'
'-x,-y,z'
'y,-x,z'
'-x,y,z'
'y,x,z'
'x,-y,z'
'-y,-x,z'
loop_
_atom_site_label
_atom_site_type_symbol
_atom_site_fract_x
_atom_site_fract_y
_atom_site_fract_z
Sr1 Sr 0.0000 0.0000 0.0000
La1 La 0.5000 0.5000 0.6525
Tl1 Tl 0.0000 0.0000 0.4820
Tl2 Tl 0.5000 0.5000 0.1948
```

Values from the calculation:
The value obtained for the formation energy is -158 meV/atom. The density comes out at 7.40 g/cm³.

=====

Material: NdIrPb2O8
Method: DFT, PBE
State: relaxed

Structure (CIF):
```
data_NdIrPb2O8
_chemical_formula_sum 'Nd1 Ir1 Pb2 O8'
_space_group_name_H-M_alt 'P 1 2/m 1'
_space_group_IT_number 10
_cell_length_a 5.0416
_cell_length_b 6.8990
_cell_length_c 5.0483
_cell_angle_alpha 90.00
_cell_angle_beta 91.21
_cell_angle_gamma 90.00
loop_
_space_group_symop_operation_xyz
'x,y,z'
'-x,-y,-z'
'-x,y,-z'
'x,-y,z'
loop_
_atom_site_label
_atom_site_type_symbol
_atom_site_fract_x
_atom_site_fract_y
_atom_site_fract_z
Nd1 Nd 0.0000 0.0000 0.0000
Ir1 Ir 0.0000 0.5000 0.0000
Pb1 Pb 0.5000 0.2567 0.5000
O1 O 0.1975 0.2867 0.1768
O2 O 0.2612 0.5000 0.7157
O3 O 0.3047 0.0000 0.6695
```

Values from the calculation:
The density comes out at 8.31 g/cm³. The value obtained for the energy relative to the elements, uncorrected is -1266 meV per atom.

=====

These records have final energy values of -4.094; -2.993; -6.325 eV/atom, in the order they appear.
These records have size of the total moment values of 0.00; 0.00; 1.52 μB/f.u., in the order they appear.